Entry from Alexandria via LeMat-Bulk: a geometry-optimized CePr2Ge6 structure (PBE).

Unit cell a=7.6515 b=7.6515 c=4.1198 alpha=90.00 beta=90.00 gamma=120.00
With the nearest neighbours (Å) after each atom.
Space group P6/mmm (No. 191)
One atom of each set of equivalent atoms:
Ce 0.0000 0.0000 0.0000 (multiplicity 1)  12 Ge 3.27
Pr 0.3333 0.6667 0.0000 (multiplicity 2)  12 Ge 3.28
Ge 0.0000 0.3323 0.5000 (multiplicity 6)  3 Ge 2.54-2.57

Computed properties:
**E_form**: -0.5825 eV per atom

***

Entry from Alexandria via LeMat-Bulk: a geometry-optimized BeAg2B structure (PBE).

Unit cell a=8.1555 b=8.1555 c=3.6894 alpha=90.00 beta=90.00 gamma=90.00
With the nearest neighbours (Å) after each atom.
Space group I-42d (No. 122)
One atom of each set of equivalent atoms:
Be 0.0000 0.0000 0.0000 (multiplicity 4)  2 B 1.84
Ag 0.0983 0.7500 0.6250 (multiplicity 8)  2 B 2.24
B 0.0000 0.0000 0.5000 (multiplicity 4)  2 Be 1.84

Computed properties:
**E_form**: 0.5836 eV per atom
**Energy relative to the lowest polymorph listed for this composition**: 0.00 eV/f.u.

***

Entry from Alexandria via LeMat-Bulk: a geometry-optimized SrIO2 structure (PBE).

Unit cell a=4.8769 b=4.8769 c=14.1096 alpha=90.00 beta=90.00 gamma=90.00
With the nearest neighbours (Å) after each atom.
Space group I-42d (No. 122)
One atom of each set of equivalent atoms:
Sr 0.0000 0.0000 0.0000 (multiplicity 4)  4 O 2.55
I 0.0000 0.0000 0.5000 (multiplicity 4)  4 O 2.39
O 0.2173 0.2500 0.6250 (multiplicity 8)  2 I 2.39, 2 Sr 2.55

Computed properties:
**ΔE_f (raw)**: -0.9809 eV per atom
**Energy relative to the lowest polymorph listed for this composition**: 2.13 eV/f.u.

***

Entry from Alexandria via LeMat-Bulk: a geometry-optimized Li17Si11Au structure (PBE).

Unit cell a=9.6113 b=13.4535 c=8.2477 alpha=90.00 beta=125.26 gamma=90.00
With the nearest neighbours (Å) after each atom.
Space group Cm (No. 8)
One atom of each set of equivalent atoms:
Li 0.0000 0.0000 0.0000 (multiplicity 2)  4 Li 2.70-2.93, 6 Si 2.78-2.88
Li 0.0060 0.3415 0.9613 (multiplicity 4)  4 Si 2.59-2.88, 7 Li 2.69-2.89, 1 Au 2.70
Li 0.0174 0.3289 0.3557 (multiplicity 4)  4 Li 2.76-2.81, 1 Au 2.78, 5 Si 2.79-2.85
Li 0.0307 0.0000 0.6493 (multiplicity 2)  3 Si 2.56-2.65, 5 Li 2.83-2.85
Li 0.1478 0.1977 0.6706 (multiplicity 4)  5 Si 2.60-2.90, 7 Li 2.77-2.90
Li 0.2449 0.5000 0.0679 (multiplicity 2)  1 Au 2.64, 4 Si 2.67-2.89, 7 Li 2.81-2.87
Li 0.3025 0.3576 0.3532 (multiplicity 4)  4 Si 2.66-2.87, 7 Li 2.78-2.90, 1 Au 2.82
Li 0.3341 0.3010 0.0419 (multiplicity 4)  5 Si 2.62-2.89, 7 Li 2.76-2.87
Li 0.3505 0.0000 0.3570 (multiplicity 2)  4 Li 2.81-2.98, 11 Si 2.88-2.97, 1 Au 2.90
Li 0.3573 0.0000 0.7225 (multiplicity 2)  4 Li 2.69-2.98, 6 Si 2.82-2.92
Li 0.4039 0.3421 0.7550 (multiplicity 4)  5 Si 2.64-2.85, 7 Li 2.70-2.89
Si 0.0714 0.0895 0.3582 (multiplicity 4)  3 Si 2.41-2.53, 2 Li 2.66-2.67
Si 0.1208 0.4061 0.7245 (multiplicity 4)  3 Si 2.42-2.53, 2 Li 2.62-2.67
Si 0.1597 0.1824 0.1642 (multiplicity 4)  3 Si 2.41-2.55, 2 Li 2.59-2.69
Si 0.2240 0.5000 0.5482 (multiplicity 2)  1 Au 2.47, 2 Si 2.52, 3 Li 2.56-2.65
Si 0.2501 0.0938 0.9863 (multiplicity 4)  2 Si 2.41-2.52, 1 Au 2.59, 2 Li 2.60-2.65
Si 0.3517 0.1816 0.5432 (multiplicity 4)  3 Si 2.42-2.55, 1 Li 2.64
Au 0.0386 0.5000 0.1814 (multiplicity 2)  3 Si 2.47-2.59, 3 Li 2.64-2.70

Computed properties:
**ΔE_f (raw)**: -0.2609 eV per atom

***

Entry from Alexandria via LeMat-Bulk: a geometry-optimized PmAsP2O8 structure (PBE).

Unit cell a=5.1865 b=5.1865 c=6.9784 alpha=90.00 beta=90.00 gamma=120.00
With the nearest neighbours (Å) after each atom.
Space group P-3m1 (No. 164)
One atom of each set of equivalent atoms:
Pm 0.0000 0.0000 0.0000 (multiplicity 1)  6 O 2.51
As 0.0000 0.0000 0.5000 (multiplicity 1)  6 O 2.13
P 0.3333 0.6667 0.2157 (multiplicity 2)  4 O 1.53-1.55
O 0.1691 0.3381 0.2856 (multiplicity 6)  1 P 1.55
O 0.3333 0.6667 0.9959 (multiplicity 2)  1 P 1.53

Computed properties:
**ΔE_f (raw)**: -2.2166 eV per atom

***

Entry from Alexandria via LeMat-Bulk: a geometry-optimized SrCoP2 structure (PBE).

Unit cell a=6.0090 b=6.3190 c=3.9504 alpha=90.00 beta=90.00 gamma=90.00
With the nearest neighbours (Å) after each atom.
Space group Cmmm (No. 65)
One atom of each set of equivalent atoms:
Sr 0.0000 0.0000 0.0000 (multiplicity 2)  8 P 2.94, 4 Co 3.00-3.16
Co 0.0000 0.5000 0.0000 (multiplicity 2)  8 P 2.94, 4 Sr 3.00-3.16
P 0.2500 0.2500 0.5000 (multiplicity 4)  4 Co 2.94, 4 Sr 2.94, 4 P 3.00-3.16

Computed properties:
**E_form**: 0.2270 eV per atom
**Energy relative to the lowest polymorph listed for this composition**: 3.55 eV/f.u.

***

Entry from Alexandria via LeMat-Bulk: a geometry-optimized AgGe2F structure (PBE).

Unit cell a=6.3904 b=6.3904 c=6.3904 alpha=90.00 beta=90.00 gamma=90.00
With the nearest neighbours (Å) after each atom.
Space group Fm-3m (No. 225)
One atom of each set of equivalent atoms:
Ag 0.0000 0.0000 0.0000 (multiplicity 4)  8 Ge 2.77
Ge 0.2500 0.2500 0.2500 (multiplicity 8)  4 F 2.77, 4 Ag 2.77
F 0.0000 0.0000 0.5000 (multiplicity 4)  8 Ge 2.77

Computed properties:
**ΔE_f (raw)**: -0.2706 eV per atom

***

Entry from Alexandria via LeMat-Bulk: a geometry-optimized LaTcBi3 structure (PBE).

Unit cell a=5.4043 b=5.4043 c=5.4043 alpha=90.00 beta=90.00 gamma=90.00
With the nearest neighbours (Å) after each atom.
Space group Pm-3m (No. 221)
One atom of each set of equivalent atoms:
La 0.0000 0.0000 0.0000 (multiplicity 1)  12 Bi 3.82
Tc 0.5000 0.5000 0.5000 (multiplicity 1)  6 Bi 2.70
Bi 0.0000 0.5000 0.5000 (multiplicity 3)  2 Tc 2.70

Computed properties:
**E_form**: 0.1974 eV per atom
**Energy relative to the lowest polymorph listed for this composition**: 0.00 eV/f.u.

***

| no. | density of states at the Fermi level (states/eV/cell) |
| --- | --- |
| 1 | 8.40 |
| 2 | 5.20 |
| 3 | 6.47 |
| 4 | 14.31 |
| 5 | 0.00 |
| 6 | 9.06 |
| 7 | 6.19 |
| 8 | 6.33 |